Density functional theory data (GGA+U) for an optimized crystal structure of Ni3IF.

It has space group Pm-3m (No. 221), with a = 4.334 Å, b = 4.334 Å, c = 4.334 Å, α = 90.00°, β = 90.00° and γ = 90.00°. The distinct sites, in fractional coordinates, are Ni at (0.000, 0.000, 0.500), I at (0.500, 0.500, 0.500) and F at (0.000, 0.000, 0.000).

The calculation puts the energy above the most stable polymorph in this dataset at 0 meV per atom. The calculation puts the volume at 16.3 A^3/atom.